This record from Alexandria via LeMat-Bulk describes a geometry-optimized Ba2LaSc structure. The functional is PBE.

The formation energy comes out at 370 meV/atom. As for the electronic total energy: -3.41 eV per atom.

It has space group Cmmm (No. 65), with a = 4.2763 Å, b = 6.1779 Å, c = 12.7289 Å, α = 90.00°, β = 90.00° and γ = 90.00°. The distinct sites, in fractional coordinates, are Ba at (0.0000, 0.0000, 0.2334), La at (0.0000, 0.5000, 0.5000) and Sc at (0.0000, 0.5000, 0.0000).

=====

This record from Alexandria via LeMat-Bulk describes a geometry-optimized LiNd12In6 structure. The functional is PBE.

The formation energy comes out at -233 meV/atom. As for the electronic total energy: -4.21 eV per atom.

It has space group R-3 (No. 148, hexagonal axes), with a = 11.5935 Å, b = 11.5935 Å, c = 14.6848 Å, α = 90.00°, β = 90.00° and γ = 120.00°. The distinct sites, in fractional coordinates, are Li at (0.0000, 0.0000, 0.0000), Nd at (0.0627, 0.1889, 0.8094), Nd at (0.0663, 0.8446, 0.4104) and In at (0.0417, 0.4499, 0.7070).

=====

This record from Alexandria via LeMat-Bulk describes a geometry-optimized LaHN3 structure. The functional is PBE.

As for the electronic total energy: -5.62 eV per atom.

It has space group Pm-3m (No. 221), with a = 3.6716 Å, b = 3.6716 Å, c = 3.6716 Å, α = 90.00°, β = 90.00° and γ = 90.00°. The distinct sites, in fractional coordinates, are La at (0.0000, 0.0000, 0.0000), H at (0.5000, 0.5000, 0.5000) and N at (0.0000, 0.5000, 0.5000).

=====

This record from Alexandria via LeMat-Bulk describes a geometry-optimized Ce2Pu3ZrAs6 structure. The functional is PBE.

The formation energy comes out at -1173 meV/atom. As for the electronic total energy: -8.78 eV per atom.

It has space group C2/m (No. 12), with a = 17.9276 Å, b = 4.1188 Å, c = 8.2270 Å, α = 90.00°, β = 103.03° and γ = 90.00°. The distinct sites, in fractional coordinates, are Ce at (0.1640, 0.0000, 0.3307), Pu at (0.0000, 0.5000, 0.5000), Pu at (0.1685, 0.0000, 0.8361), Zr at (0.0000, 0.5000, 0.0000), As at (0.0025, 0.0000, 0.7624), As at (0.1613, 0.5000, 0.0775) and As at (0.1675, 0.5000, 0.5863).

=====

This record from Alexandria via LeMat-Bulk describes a geometry-optimized Sm3Ho2Mg structure. The functional is PBE.

The formation energy comes out at 20 meV/atom. As for the electronic total energy: -4.13 eV per atom.

It has space group C2/c (No. 15), with a = 17.3392 Å, b = 7.0212 Å, c = 6.1711 Å, α = 90.00°, β = 90.71° and γ = 90.00°. The distinct sites, in fractional coordinates, are Sm at (0.0000, 0.1322, 0.2500), Sm at (0.1675, 0.3749, 0.0802), Ho at (0.1666, 0.1232, 0.5859) and Mg at (0.0000, 0.3681, 0.7500).

=====

This record from Alexandria via LeMat-Bulk describes a geometry-optimized Tb3Y8Pu2 structure. The functional is PBE.

The formation energy comes out at 295 meV/atom. As for the electronic total energy: -6.96 eV per atom.

It has space group Cmmm (No. 65), with a = 7.4663 Å, b = 20.1606 Å, c = 5.6857 Å, α = 90.00°, β = 90.00° and γ = 90.00°. The distinct sites, in fractional coordinates, are Tb at (0.0000, 0.0000, 0.0000), Tb at (0.2232, 0.5000, 0.5000), Y at (0.0000, 0.1404, 0.5000), Y at (0.0000, 0.3223, 0.5000), Y at (0.2175, 0.3881, 0.0000) and Pu at (0.0000, 0.2422, 0.0000).

=====

This record from Alexandria via LeMat-Bulk describes a geometry-optimized SrBi2W structure. The functional is PBE.

The formation energy comes out at 493 meV/atom. As for the electronic total energy: -5.11 eV per atom.

It has space group I-42d (No. 122), with a = 8.4232 Å, b = 8.4232 Å, c = 7.0737 Å, α = 90.00°, β = 90.00° and γ = 90.00°. The distinct sites, in fractional coordinates, are Sr at (0.0000, 0.0000, 0.0000), Bi at (0.1930, 0.2500, 0.6250) and W at (0.0000, 0.0000, 0.5000).

=====

This record from Alexandria via LeMat-Bulk describes a geometry-optimized YGa3Pd structure. The functional is PBE.

The formation energy comes out at -658 meV/atom. As for the electronic total energy: -4.81 eV per atom.

It has space group Pnma (No. 62), with a = 8.2727 Å, b = 4.2389 Å, c = 10.8235 Å, α = 90.00°, β = 90.00° and γ = 90.00°. The distinct sites, in fractional coordinates, are Y at (0.1955, 0.2500, 0.0149), Ga at (0.0733, 0.2500, 0.5951), Ga at (0.1076, 0.7500, 0.8173), Ga at (0.1310, 0.7500, 0.2096) and Pd at (0.0934, 0.2500, 0.3552).

=====

This record from Alexandria via LeMat-Bulk describes a geometry-optimized Co4MoH structure. The functional is PBE.

As for the electronic total energy: -7.03 eV per atom.

It has space group Cmcm (No. 63), with a = 3.7905 Å, b = 12.3671 Å, c = 5.0902 Å, α = 90.00°, β = 90.00° and γ = 90.00°. The distinct sites, in fractional coordinates, are Co at (0.0000, 0.0000, 0.0000), Co at (0.0000, 0.1971, 0.0035), Co at (0.0000, 0.3966, 0.7500), Mo at (0.0000, 0.3909, 0.2500) and H at (0.0000, 0.0975, 0.2500).

=====

This record from Alexandria via LeMat-Bulk describes a geometry-optimized Sc3Zn2Pd2 structure. The functional is PBE.

The formation energy comes out at -424 meV/atom. As for the electronic total energy: -4.99 eV per atom.

It has space group P-1 (No. 2), with a = 4.5689 Å, b = 4.5728 Å, c = 8.1724 Å, α = 74.30°, β = 74.20° and γ = 60.23°. The distinct sites, in fractional coordinates, are Sc at (0.0000, 0.0000, 0.0000), Sc at (0.2515, 0.2522, 0.2475), Zn at (0.1288, 0.1283, 0.6119) and Pd at (0.3704, 0.3702, 0.8881).

=====

This record from Alexandria via LeMat-Bulk describes a geometry-optimized La2Pm3Nd8 structure. The functional is PBE.

The formation energy comes out at 206 meV/atom. As for the electronic total energy: -4.58 eV per atom.

It has space group P-1 (No. 2), with a = 5.7967 Å, b = 7.7534 Å, c = 11.2597 Å, α = 69.87°, β = 89.99° and γ = 90.00°. The distinct sites, in fractional coordinates, are La at (0.0007, 0.2570, 0.4849), Pm at (0.0000, 0.5000, 0.0000), Pm at (0.5000, 0.2131, 0.9999), Nd at (0.9997, 0.1032, 0.2081), Nd at (0.0003, 0.3118, 0.7917), Nd at (0.4994, 0.8327, 0.3349) and Nd at (0.5000, 0.3689, 0.2622).

=====

This record from Alexandria via LeMat-Bulk describes a geometry-optimized LiZrTl3 structure. The functional is PBE.

The formation energy comes out at 413 meV/atom. As for the electronic total energy: -3.10 eV per atom.

It has space group Pm-3m (No. 221), with a = 5.6697 Å, b = 5.6697 Å, c = 5.6697 Å, α = 90.00°, β = 90.00° and γ = 90.00°. The distinct sites, in fractional coordinates, are Li at (0.0000, 0.0000, 0.0000), Zr at (0.5000, 0.5000, 0.5000) and Tl at (0.0000, 0.5000, 0.5000).

=====

This record from Alexandria via LeMat-Bulk describes a geometry-optimized MgAlZnPb2 structure. The functional is PBE.

The formation energy comes out at 363 meV/atom. As for the electronic total energy: -2.44 eV per atom.

It has space group P4/mmm (No. 123), with a = 5.5035 Å, b = 5.5035 Å, c = 4.7511 Å, α = 90.00°, β = 90.00° and γ = 90.00°. The distinct sites, in fractional coordinates, are Mg at (0.0000, 0.0000, 0.0000), Al at (0.5000, 0.5000, 0.0000), Zn at (0.5000, 0.5000, 0.5000) and Pb at (0.0000, 0.5000, 0.5000).

=====

This record from Alexandria via LeMat-Bulk describes a geometry-optimized Re3RhS structure. The functional is PBE.

Its uncorrected formation energy is 2.622 eV/atom. As for the electronic total energy: -7.14 eV per atom.

It has space group Pm-3m (No. 221), with a = 4.6907 Å, b = 4.6907 Å, c = 4.6907 Å, α = 90.00°, β = 90.00° and γ = 90.00°. The distinct sites, in fractional coordinates, are Re at (0.0000, 0.0000, 0.5000), Rh at (0.0000, 0.0000, 0.0000) and S at (0.5000, 0.5000, 0.5000).

=====

This record from Alexandria via LeMat-Bulk describes a geometry-optimized KSiAs2Se structure. The functional is PBE.

Its uncorrected formation energy is 1.661 eV/atom. As for the electronic total energy: -2.20 eV per atom.

It has space group P4/mmm (No. 123), with a = 5.3742 Å, b = 5.3742 Å, c = 5.4970 Å, α = 90.00°, β = 90.00° and γ = 90.00°. The distinct sites, in fractional coordinates, are K at (0.0000, 0.0000, 0.0000), Si at (0.5000, 0.5000, 0.5000), As at (0.0000, 0.5000, 0.0000) and Se at (0.0000, 0.0000, 0.5000).